1.
The following is a PBE calculation of an optimized crystal structure of BeZnAu4, from Alexandria via LeMat-Bulk.

Lattice parameters (Å, degrees): 3.9677 4.0251 6.6802 90.72 90.06 92.54
Space group P-1 (No. 2)
One atom of each set of equivalent atoms:
Be  0.0000  0.0000  0.0000 x1
Zn  0.5000  0.5000  0.5000 x1
Au  0.0006  0.4998  0.7788 x2
Au  0.5002  0.0011  0.7763 x2

Results
- formation energy (eV/atom) = -0.096
- polymorph energy (0 for the lowest one) (meV/atom) = 45



2.
The following is a PBE calculation of an optimized crystal structure of BeZnAu2, from Alexandria via LeMat-Bulk.

Lattice parameters (Å, degrees): 2.9450 2.9450 24.4265 90.00 90.00 120.00
Space group R-3m (No. 166, hexagonal axes)
One atom of each set of equivalent atoms:
Be  0.0000  0.0000  0.0000 x3
Zn  0.0000  0.0000  0.5000 x3
Au  0.0000  0.0000  0.2603 x6

Results
- formation energy (eV/atom) = -0.050
- polymorph energy (0 for the lowest one) (meV/atom) = 107



3.
The following is a PBE calculation of an optimized crystal structure of BeZnAu4, from Alexandria via LeMat-Bulk.

Lattice parameters (Å, degrees): 7.4842 11.2190 4.9489 90.00 111.78 90.00
Space group C2/c (No. 15)
One atom of each set of equivalent atoms:
Be  0.0000  0.0037  0.2500 x4
Zn  0.0000  0.3795  0.2500 x4
Au  0.1115  0.1777  0.5702 x8
Au  0.2067  0.4152  0.8401 x8

Results
- formation energy (eV/atom) = -0.141
- polymorph energy (0 for the lowest one) (meV/atom) = 0



4.
The following is a PBE calculation of an optimized crystal structure of BeZnAu2, from Alexandria via LeMat-Bulk.

Lattice parameters (Å, degrees): 3.0643 4.4045 4.8667 107.57 107.48 90.05
Space group P1 (No. 1)
One atom of each set of equivalent atoms:
Be  0.0000  0.0000  0.0000 x1
Zn  0.2528  0.6744  0.5321 x1
Au  0.4900  0.4783  0.0069 x1
Au  0.7144  0.1306  0.4416 x1

Results
- formation energy (eV/atom) = -0.097
- polymorph energy (0 for the lowest one) (meV/atom) = 60



5.
The following is a PBE calculation of an optimized crystal structure of Be2ZnAu4, from Alexandria via LeMat-Bulk.

Lattice parameters (Å, degrees): 6.5527 6.5527 11.1234 90.00 90.00 90.00
Space group I4_1/a (No. 88, origin choice 2)
One atom of each set of equivalent atoms:
Be  0.0000  0.0000  0.0000 x8
Zn  0.0000  0.2500  0.6250 x4
Au  0.1462  0.0609  0.8194 x16

Results
- formation energy (eV/atom) = 0.054
- polymorph energy (0 for the lowest one) (meV/atom) = 138



6.
The following is a PBE calculation of an optimized crystal structure of BeZn2Au, from Alexandria via LeMat-Bulk.

Lattice parameters (Å, degrees): 4.8104 4.8711 4.9263 95.27 98.03 94.03
Space group P1 (No. 1)
One atom of each set of equivalent atoms:
Be  0.0000  0.0000  0.0000 x1
Be  0.2701  0.8331  0.4414 x1
Zn  0.2376  0.5900  0.8970 x1
Zn  0.3249  0.3328  0.3532 x1
Zn  0.7068  0.6261  0.6871 x1
Zn  0.8309  0.5488  0.1910 x1
Au  0.4731  0.1096  0.8716 x1
Au  0.8369  0.0787  0.4461 x1

Results
- formation energy (eV/atom) = -0.035